a) An optimized crystal structure of TbHo7Tm12, computed with PBE.

## Properties
Calculated volume ... 618.1 Å³/f.u.
Magnetization ... 0.00 μB per atom

Lattice parameters (Å, degrees): 8.5552 8.5552 8.5552 95.16 95.16 95.16
With the nearest neighbours (Å) after each atom.
Atoms (fractional coordinates):
1 Tb 0.0000 0.0000 0.0000  6 Ho 3.03
2 Ho 0.0207 0.0840 0.3531  1 Tb 3.03, 2 Tm 3.03-3.31, 1 Ho 3.04
3 Ho 0.0840 0.3531 0.0207  1 Tb 3.03, 2 Tm 3.03-3.31, 1 Ho 3.04
4 Ho 0.3531 0.0207 0.0840  1 Tb 3.03, 2 Tm 3.03-3.31, 1 Ho 3.04
5 Ho 0.5000 0.5000 0.5000  6 Tm 3.02
6 Ho 0.6469 0.9793 0.9160  1 Tb 3.03, 2 Tm 3.03-3.31, 1 Ho 3.04
7 Ho 0.9160 0.6469 0.9793  1 Tb 3.03, 2 Tm 3.03-3.31, 1 Ho 3.04
8 Ho 0.9793 0.9160 0.6469  1 Tb 3.03, 2 Tm 3.03-3.31, 1 Ho 3.04
9 Tm 0.1482 0.4173 0.4810  2 Ho 3.02-3.03, 2 Tm 3.04-3.29
10 Tm 0.1866 0.7491 0.3146  3 Tm 3.29-3.48, 3 Ho 3.31-3.51
11 Tm 0.2509 0.6854 0.8134  3 Tm 3.29-3.48, 3 Ho 3.31-3.51
12 Tm 0.3146 0.1866 0.7491  3 Tm 3.29-3.48, 3 Ho 3.31-3.51
13 Tm 0.4173 0.4810 0.1482  2 Ho 3.02-3.03, 2 Tm 3.04-3.29
14 Tm 0.4810 0.1482 0.4173  2 Ho 3.02-3.03, 2 Tm 3.04-3.29
15 Tm 0.5190 0.8518 0.5827  2 Ho 3.02-3.03, 2 Tm 3.04-3.29
16 Tm 0.5827 0.5190 0.8518  2 Ho 3.02-3.03, 2 Tm 3.04-3.29
17 Tm 0.6854 0.8134 0.2509  3 Tm 3.29-3.48, 3 Ho 3.31-3.51
18 Tm 0.7491 0.3146 0.1866  3 Tm 3.29-3.48, 3 Ho 3.31-3.51
19 Tm 0.8134 0.2509 0.6854  3 Tm 3.29-3.48, 3 Ho 3.31-3.51
20 Tm 0.8518 0.5827 0.5190  2 Ho 3.02-3.03, 2 Tm 3.04-3.29

=====

b) An optimized crystal structure of TbHo7Tm12, computed with PBE.

## Properties
Calculated volume ... 684.6 Å³/f.u.
Magnetization ... 0.00 μB per atom

Lattice parameters (Å, degrees): 9.6167 9.6167 9.6167 109.47 109.47 109.47
With the nearest neighbours (Å) after each atom.
Atoms (fractional coordinates):
1 Tb 0.0000 0.0000 0.0000  12 Tm 3.95
2 Ho 0.0000 0.0000 0.5000  6 Tm 2.78
3 Ho 0.0000 0.5000 0.0000  6 Tm 2.78
4 Ho 0.0000 0.5000 0.5000  12 Tm 3.90-3.93
5 Ho 0.5000 0.0000 0.0000  6 Tm 2.78
6 Ho 0.5000 0.0000 0.5000  12 Tm 3.90-3.93
7 Ho 0.5000 0.5000 0.0000  12 Tm 3.90-3.93
8 Ho 0.5000 0.5000 0.5000  6 Tm 2.78
9 Tm 0.0000 0.2514 0.7486  2 Ho 2.78
10 Tm 0.0000 0.7486 0.2514  2 Ho 2.78
11 Tm 0.2514 0.0000 0.7486  2 Ho 2.78
12 Tm 0.2514 0.2514 0.5028  2 Ho 2.78
13 Tm 0.2514 0.5028 0.2514  2 Ho 2.78
14 Tm 0.2514 0.7486 0.0000  2 Ho 2.78
15 Tm 0.4972 0.7486 0.7486  2 Ho 2.78
16 Tm 0.5028 0.2514 0.2514  2 Ho 2.78
17 Tm 0.7486 0.0000 0.2514  2 Ho 2.78
18 Tm 0.7486 0.2514 0.0000  2 Ho 2.78
19 Tm 0.7486 0.4972 0.7486  2 Ho 2.78
20 Tm 0.7486 0.7486 0.4972  2 Ho 2.78

=====

Which structure is most stable, and how do the rest compare? From most to least stable: a), b).

=====

a) An optimized crystal structure of Tb7Ho2Tm2, computed with PBE.

## Properties
Calculated volume ... 366.8 Å³/f.u.
Magnetization ... 0.00 μB per atom

Lattice parameters (Å, degrees): 6.7734 6.7734 9.4692 90.00 90.00 122.40
With the nearest neighbours (Å) after each atom.
Atoms (fractional coordinates):
1 Tb 0.0000 0.0000 0.0000  2 Tm 3.24
2 Tb 0.0000 0.5000 0.3143  5 Tb 3.26-3.60, 2 Tm 3.41, 2 Ho 3.45
3 Tb 0.0000 0.5000 0.6857  5 Tb 3.26-3.60, 2 Tm 3.41, 2 Ho 3.45
4 Tb 0.5000 0.0000 0.3143  5 Tb 3.26-3.60, 2 Tm 3.41, 2 Ho 3.45
5 Tb 0.5000 0.0000 0.6857  5 Tb 3.26-3.60, 2 Tm 3.41, 2 Ho 3.45
6 Tb 0.5000 0.5000 0.1851  2 Tm 3.21, 2 Ho 3.40, 1 Tb 3.51
7 Tb 0.5000 0.5000 0.8149  2 Tm 3.21, 2 Ho 3.40, 1 Tb 3.51
8 Ho 0.2498 0.2498 0.5000  2 Ho 3.26-3.27, 6 Tb 3.40-3.45
9 Ho 0.7502 0.7502 0.5000  2 Ho 3.26-3.27, 6 Tb 3.40-3.45
10 Tm 0.2731 0.7269 0.0000  7 Tb 3.21-3.41, 2 Tm 3.31
11 Tm 0.7269 0.2731 0.0000  7 Tb 3.21-3.41, 2 Tm 3.31

=====

b) An optimized crystal structure of Tb7Ho2Tm2, computed with PBE.

## Properties
Calculated volume ... 349.9 Å³/f.u.
Magnetization ... 0.00 μB per atom

Lattice parameters (Å, degrees): 7.9605 7.9605 5.9897 105.79 105.79 90.80
With the nearest neighbours (Å) after each atom.
Atoms (fractional coordinates):
1 Tb 0.0000 0.0000 0.0000  6 Tb 3.22-3.48
2 Tb 0.0569 0.5899 0.8249  4 Tb 3.15-3.52, 2 Ho 3.27-3.42
3 Tb 0.2321 0.2321 0.5906  5 Tb 3.32-3.52, 3 Tm 3.42-3.66, 2 Ho 3.46
4 Tb 0.4101 0.9431 0.1751  4 Tb 3.15-3.52, 2 Ho 3.27-3.42
5 Tb 0.5899 0.0569 0.8249  4 Tb 3.15-3.52, 2 Ho 3.27-3.42
6 Tb 0.7679 0.7679 0.4094  5 Tb 3.32-3.52, 3 Tm 3.42-3.66, 2 Ho 3.46
7 Tb 0.9431 0.4101 0.1751  4 Tb 3.15-3.52, 2 Ho 3.27-3.42
8 Ho 0.2173 0.7827 0.5000  6 Tb 3.27-3.46, 2 Tm 3.62
9 Ho 0.7827 0.2173 0.5000  6 Tb 3.27-3.46, 2 Tm 3.62
10 Tm 0.4154 0.4154 0.1992  2 Tm 3.36-3.57, 7 Tb 3.42-3.72, 2 Ho 3.62
11 Tm 0.5846 0.5846 0.8008  2 Tm 3.36-3.57, 7 Tb 3.42-3.72, 2 Ho 3.62

=====

Which structure is most stable, and how do the rest compare? From most to least stable: b), a).